RbSbN2 PBE relaxed; formation energy from raw total energies = 0.96 eV per atom; E_tot = -4.473 eV/atom; calculated density = 3.16 g/cm3; crystal system = trigonal; V = 30.93 A^3/atom
1.0
4.536 0.000 0.000
-2.268 3.928 0.000
0.000 0.000 20.833
Rb Sb N
3 3 6
Direct
0.000 0.000 0.000
0.333 0.667 0.667
0.667 0.333 0.333
0.000 0.000 0.500
0.333 0.667 0.167
0.667 0.333 0.833
0.000 0.000 0.410
0.000 0.000 0.590
0.333 0.667 0.077
0.333 0.667 0.257
0.667 0.333 0.743
0.667 0.333 0.923